This record from the Alexandria database describes crystalline Na7CdIn3 at its relaxed geometry. The functional is PBE-GGA.

Cell lengths 6.9108, 6.9108, 8.1053 Å; angles 90.00, 90.00, 120.00 degrees
Closest atoms and distances in Å follow each position.
Sites, in units of the cell vectors:
Na  0.0000  0.0000  0.0000  3 In 3.28, 9 Na 3.46-3.65
Na  0.1694  0.3388  0.6254  2 In 3.22, 6 Na 3.40-3.58, 2 Cd 3.46
Na  0.1694  0.8306  0.6254  2 In 3.22, 6 Na 3.40-3.58, 2 Cd 3.46
Na  0.5017  0.0033  0.9924  2 In 3.28, 8 Na 3.42-3.58, 1 Cd 3.48
Na  0.5017  0.4983  0.9924  2 In 3.28, 8 Na 3.42-3.58, 1 Cd 3.48
Na  0.6612  0.8306  0.6254  2 In 3.22, 6 Na 3.40-3.58, 2 Cd 3.46
Na  0.9967  0.4983  0.9924  2 In 3.28, 8 Na 3.42-3.58, 1 Cd 3.48
Cd  0.6667  0.3333  0.6388  3 In 3.26, 9 Na 3.46-3.48
In  0.3405  0.1702  0.3169  5 Na 3.22-3.28, 1 Cd 3.26, 4 In 3.38-3.53
In  0.8298  0.1702  0.3169  5 Na 3.22-3.28, 1 Cd 3.26, 4 In 3.38-3.53
In  0.8298  0.6595  0.3169  5 Na 3.22-3.28, 1 Cd 3.26, 4 In 3.38-3.53

Summary:
Magnetization, μB per formula unit: 0.0
E_form, eV per atom: 0.0051
Uncorrected energy, eV/cell: -18.31